No. 1
A relaxed structure of CsPr2PaSe5, computed with PBE-GGA.

Unit cell a=8.6261 b=8.6261 c=8.6261 alpha=143.89 beta=126.89 gamma=65.91
Closest atoms and distances in Å follow each position.
Positions (direct):
Cs 0.0000 0.0000 0.0000  10 Se 3.86-4.00
Pr 0.2964 0.7964 0.5000  3 Se 2.94-2.95
Pr 0.7036 0.2036 0.5000  3 Se 2.94-2.95
Pa 0.5000 0.5000 0.0000  6 Se 2.67-2.83
Se 0.1145 0.3498 0.7646  1 Pa 2.83, 1 Pr 2.94
Se 0.4148 0.6502 0.7646  1 Pa 2.83, 1 Pr 2.94
Se 0.5000 0.0000 0.5000  2 Pa 2.67, 2 Pr 2.95
Se 0.5852 0.3498 0.2354  1 Pa 2.83, 1 Pr 2.94
Se 0.8855 0.6502 0.2354  1 Pa 2.83, 1 Pr 2.94

Computed properties:
The value obtained for the raw formation energy is -1.56 eV/atom.


No. 2
A relaxed structure of KAsW2, computed with PBE-GGA.

Unit cell a=5.7266 b=5.7266 c=5.7266 alpha=139.55 beta=139.55 gamma=58.53
Closest atoms and distances in Å follow each position.
Positions (direct):
K 0.0000 0.0000 0.0000  4 As 2.80
As 0.5000 0.5000 0.0000  4 K 2.80
W 0.2500 0.7500 0.5000  4 W 2.80
W 0.7500 0.2500 0.5000  4 W 2.80

Computed properties:
The formation energy comes out at 1.56 eV/atom.